## Li3La2Sn4Hg (PBE)

Data for Li3La2Sn4Hg after structural relaxation.

Geometry as CIF:
```
data_Li3La2Sn4Hg
_chemical_formula_sum 'Li3 La2 Sn4 Hg1'
_symmetry_space_group_name_H-M 'P 1'
_symmetry_Int_Tables_number 1
_symmetry_space_group_name_Hall 'P 1'
_cell_length_a 4.523
_cell_length_b 4.523
_cell_length_c 11.763
_cell_angle_alpha 90.00
_cell_angle_beta 90.00
_cell_angle_gamma 90.00
loop_
_atom_site_label
_atom_site_type_symbol
_atom_site_fract_x
_atom_site_fract_y
_atom_site_fract_z
_atom_site_occupancy
Li1 Li 0.000 0.000 0.000 1
Li2 Li 0.000 0.500 0.631 1
Li3 Li 0.500 0.000 0.369 1
La1 La 0.000 0.500 0.256 1
La2 La 0.500 0.000 0.744 1
Sn1 Sn 0.000 0.000 0.500 1
Sn2 Sn 0.000 0.500 0.849 1
Sn3 Sn 0.500 0.000 0.151 1
Sn4 Sn 0.500 0.500 0.500 1
Hg1 Hg 0.500 0.500 0.000 1
```

The calculation puts the electronic total energy at -3.75 eV/atom. The energy of formation comes out at -0.563 eV per atom.